# 1
Density functional theory data (PBE) for crystalline ZrReOs at its relaxed geometry.

## Properties
- calculated formation energy (meV/atom) = 83

Cell: 2.892 3.871 9.167 Å, 90.00 90.00 90.00°
Space group Imm2 (No. 44)
One atom of each set of equivalent atoms:
Zr: 0.000 0.000 0.000
Re: 0.000 0.000 0.687
Os: 0.000 0.000 0.313

***

# 2
Density functional theory data (PBE) for crystalline TlSbH3 at its relaxed geometry.

## Properties
- final energy (eV/f.u.) = -14.4

Cell: 4.256 4.256 4.256 Å, 90.00 90.00 90.00°
Space group Pm-3m (No. 221)
One atom of each set of equivalent atoms:
Tl: 0.000 0.000 0.000
Sb: 0.500 0.500 0.500
H: 0.000 0.500 0.500

***

# 3
Density functional theory data (PBE) for crystalline HoPBr at its relaxed geometry.

## Properties
- formation energy (no corrections) (eV/atom) = -1.235

Cell: 14.859 3.973 7.425 Å, 90.00 107.43 90.00°
Space group C2/m (No. 12)
One atom of each set of equivalent atoms:
Ho: 0.008 0.000 0.227
P: 0.081 0.500 0.060
Br: 0.134 0.000 0.592

***

# 4
Density functional theory data (PBE) for crystalline RbNaTlCr2 at its relaxed geometry.

## Properties
- calculated formation energy (meV/atom) = 1148

Cell: 5.638 5.638 5.762 Å, 90.00 90.00 90.00°
Space group P4/mmm (No. 123)
One atom of each set of equivalent atoms:
Rb: 0.000 0.000 0.000
Na: 0.500 0.500 0.500
Tl: 0.500 0.500 0.000
Cr: 0.000 0.500 0.500

***

# 5
Density functional theory data (PBE) for crystalline CuIrSe2 at its relaxed geometry.

## Properties
- formation energy (no corrections) (eV/atom) = 0.136

Cell: 3.298 3.298 6.898 Å, 90.00 90.00 90.00°
Space group P4mm (No. 99)
One atom of each set of equivalent atoms:
Cu: 0.000 0.000 0.000
Ir: 0.500 0.500 0.233
Se: 0.000 0.000 0.395
Se: 0.500 0.500 0.861

***

# 6
Density functional theory data (PBE) for crystalline BaLaTa2Cu at its relaxed geometry.

## Properties
- calculated formation energy (meV/atom) = 1071

Cell: 4.899 4.899 5.684 Å, 90.00 90.00 90.00°
Space group P4/mmm (No. 123)
One atom of each set of equivalent atoms:
Ba: 0.000 0.000 0.000
La: 0.500 0.500 0.000
Ta: 0.000 0.500 0.500
Cu: 0.000 0.000 0.500